{"formula": "RbNiCl", "functional": "PBE-GGA", "state": "optimized geometry", "lattice_angstrom": [[-3.624, -1.841, 2.446], [-4.047, -2.085, -4.744], [1.829, -6.177, -5.489]], "species": ["Ni", "Ni", "Rb", "Rb", "Cl", "Cl"], "fractional_positions": [[0.127, 0.676, 0.635], [0.564, 0.676, 0.548], [0.159, 0.210, 0.582], [0.693, 0.142, 0.116], [0.403, 0.676, 0.289], [0.821, 0.676, 0.787]], "raw_formation_energy_mev_per_atom": -531, "dos_ef_per_ev_fu": 0.0, "magmom_total_mub_per_fu": 0.00, "relative_energy_ev_per_atom": 0.045}

=====

{"formula": "RbNiCl", "functional": "PBE-GGA", "state": "optimized geometry", "lattice_angstrom": [[-3.137, 0.374, 2.466], [0.081, -2.956, -2.705], [2.306, -3.045, 3.396]], "species": ["Ni", "Rb", "Cl"], "fractional_positions": [[0.333, 0.667, 0.000], [0.667, 0.333, 0.500], [0.000, 0.000, 0.000]], "raw_formation_energy_mev_per_atom": -277, "dos_ef_per_ev_fu": 0.4, "magmom_total_mub_per_fu": 0.00, "relative_energy_ev_per_atom": 0.300}

=====

{"formula": "RbNiCl2", "functional": "PBE-GGA", "state": "optimized geometry", "lattice_angstrom": [[-0.158, -2.720, 6.876], [5.850, -4.252, -1.547], [5.119, -0.768, 3.792]], "species": ["Ni", "Ni", "Rb", "Rb", "Cl", "Cl", "Cl", "Cl"], "fractional_positions": [[0.500, 0.500, 0.000], [0.250, 0.750, 0.500], [0.000, 0.000, 0.000], [0.750, 0.250, 0.500], [0.514, 0.125, 0.250], [0.236, 0.625, 0.250], [0.375, 0.486, 0.750], [0.875, 0.764, 0.750]], "raw_formation_energy_mev_per_atom": -970, "dos_ef_per_ev_fu": 1.6, "magmom_total_mub_per_fu": 1.00, "relative_energy_ev_per_atom": 0.000}

=====

{"formula": "RbNiCl", "functional": "PBE-GGA", "state": "optimized geometry", "lattice_angstrom": [[-2.240, -0.919, -4.529], [8.160, -4.763, -3.070], [1.655, -5.892, -2.534]], "species": ["Ni", "Ni", "Rb", "Rb", "Cl", "Cl"], "fractional_positions": [[0.804, 0.057, 0.887], [0.309, 0.057, 0.887], [0.903, 0.616, 0.194], [0.903, 0.190, 0.194], [0.298, 0.298, 0.403], [0.313, 0.813, 0.374]], "raw_formation_energy_mev_per_atom": -542, "dos_ef_per_ev_fu": 0.0, "magmom_total_mub_per_fu": 0.00, "relative_energy_ev_per_atom": 0.034}